Record 1
The following is a DFT calculation (GGA-PBE) of a geometry-optimized TbHoGaRh structure.

Computed properties:
* density of states at the Fermi level: 3.0 states/eV/f.u.
* energy of formation: -738 meV per atom
* SG: Amm2
* uncorrected energy: -5.6345 eV per atom
* size of the total moment: 0.000 μB per atom
* crystal system: orthorhombic

```
TbHoGaRh
1.0
4.2614 0.0000 0.0000
0.0000 3.9654 0.0000
0.0000 0.0000 10.6584
Tb Ho Ga Rh
2 2 2 2
Direct
0.0000 0.0000 0.0000
0.0000 0.5000 0.5000
0.5000 0.0000 0.7162
0.5000 0.5000 0.2162
0.5000 0.0000 0.4261
0.5000 0.5000 0.9261
0.0000 0.0000 0.2775
0.0000 0.5000 0.7775
```



Record 2
The following is a DFT calculation (GGA-PBE) of a geometry-optimized Tb2HoGa2Rh5 structure.

Computed properties:
* density of states at the Fermi level: 5.0 states/eV/f.u.
* energy of formation: -839 meV per atom
* SG: P4/mbm
* uncorrected energy: -6.5043 eV per atom
* size of the total moment: 0.000 μB per atom
* crystal system: tetragonal

```
Tb2HoGa2Rh5
1.0
10.0336 0.0000 0.0000
0.0000 10.0336 0.0000
0.0000 0.0000 3.5995
Tb Ho Ga Rh
4 2 4 10
Direct
0.1731 0.3269 0.0000
0.3269 0.8269 0.0000
0.6731 0.1731 0.0000
0.8269 0.6731 0.0000
0.0000 0.0000 0.0000
0.5000 0.5000 0.0000
0.1231 0.6231 0.0000
0.3769 0.1231 0.0000
0.6231 0.8769 0.0000
0.8769 0.3769 0.0000
0.0000 0.5000 0.5000
0.0709 0.7879 0.5000
0.2121 0.0709 0.5000
0.2879 0.5709 0.5000
0.4291 0.2879 0.5000
0.5000 0.0000 0.5000
0.5709 0.7121 0.5000
0.7121 0.4291 0.5000
0.7879 0.9291 0.5000
0.9291 0.2121 0.5000
```